Material: YCo2TcPb
Method: DFT, GGA-PBE
State: relaxed

Structure (POSCAR):
```
YCo2TcPb
1.0
4.7209 0.0000 0.0000
0.0000 5.0768 0.0000
0.0000 0.0000 4.7209
Pb Co Tc Y
1 2 1 1
Direct
0.0000 0.0000 0.0000
0.0000 0.0000 0.5000
0.5000 0.0000 0.0000
0.0000 0.5000 0.0000
0.5000 0.5000 0.5000
```

Properties
- ΔE_f (meV/atom) = 1230
- N(E_F) (states/eV per cell) = 8.05
- SG = No. 123
- total magnetization (μB per cell) = 1.9